Cd2TcRu (PBE, optimized geometry); distance to the lowest polymorph of the same formula = 0.457 eV/atom; raw total energy = -19.24 eV for the cell shown; DFT formation energy = 0.558 eV/atom
1.0
4.004 0.000 0.000
0.000 4.004 0.000
0.000 0.000 4.320
Cd Tc Ru
2 1 1
direct
0.000 0.500 0.000 Cd
0.500 0.000 0.000 Cd
0.000 0.000 0.500 Tc
0.500 0.500 0.500 Ru

***

Cd2TcRu (PBE, optimized geometry); distance to the lowest polymorph of the same formula = 0.393 eV/atom; raw total energy = -19.50 eV for the cell shown; DFT formation energy = 0.494 eV/atom
1.0
4.839 -1.426 0.000
4.839 1.426 0.000
-0.823 0.000 4.899
Cd Tc Ru
2 1 1
direct
0.249 0.249 0.248 Cd
0.751 0.751 0.752 Cd
0.000 0.000 0.500 Tc
0.500 0.500 0.000 Ru

***

Cd2TcRu (PBE, optimized geometry); distance to the lowest polymorph of the same formula = 0.257 eV/atom; raw total energy = -20.04 eV for the cell shown; DFT formation energy = 0.358 eV/atom
1.0
1.488 -2.392 0.000
1.488 2.392 0.000
0.000 0.000 9.830
Cd Tc Ru
2 1 1
direct
0.000 0.000 0.000 Cd
0.500 0.500 0.285 Cd
0.500 0.500 0.744 Tc
0.000 0.000 0.536 Ru

***

Cd2TcRu (PBE, optimized geometry); distance to the lowest polymorph of the same formula = 0.545 eV/atom; raw total energy = -18.89 eV for the cell shown; DFT formation energy = 0.646 eV/atom
1.0
3.409 0.000 0.000
0.000 3.409 0.000
0.000 0.000 5.974
Cd Tc Ru
2 1 1
direct
0.000 0.000 0.245 Cd
0.000 0.000 0.755 Cd
0.500 0.500 0.500 Tc
0.500 0.500 0.000 Ru

***

Cd2TcRu (PBE, optimized geometry); distance to the lowest polymorph of the same formula = 0.432 eV/atom; raw total energy = -19.34 eV for the cell shown; DFT formation energy = 0.534 eV/atom
1.0
3.020 0.000 0.000
0.000 4.671 0.000
0.000 0.000 4.824
Cd Tc Ru
2 1 1
direct
0.000 0.000 0.000 Cd
0.500 0.500 0.000 Cd
0.000 0.500 0.500 Tc
0.500 0.000 0.500 Ru

***

CdTc3Ru (PBE, optimized geometry); distance to the lowest polymorph of the same formula = 0.000 eV/atom; raw total energy = -33.42 eV for the cell shown; DFT formation energy = 1.574 eV/atom
1.0
4.672 0.000 0.000
0.000 4.672 0.000
0.000 0.000 4.672
Cd Tc Ru
1 3 1
direct
0.000 0.000 0.000 Cd
0.000 0.500 0.500 Tc
0.500 0.000 0.500 Tc
0.500 0.500 0.000 Tc
0.500 0.500 0.500 Ru

***

Cd2TcRu (PBE, optimized geometry); distance to the lowest polymorph of the same formula = 0.360 eV/atom; raw total energy = -19.63 eV for the cell shown; DFT formation energy = 0.462 eV/atom
1.0
-2.147 2.147 3.657
2.147 -2.147 3.657
2.147 2.147 -3.657
Cd Tc Ru
2 1 1
direct
0.000 0.000 0.000 Cd
0.750 0.250 0.500 Cd
0.500 0.500 0.000 Tc
0.250 0.750 0.500 Ru

***

CdTcRu (PBE, optimized geometry); distance to the lowest polymorph of the same formula = 0.090 eV/atom; raw total energy = -19.99 eV for the cell shown; DFT formation energy = 0.188 eV/atom
1.0
2.819 0.000 0.000
-1.409 2.441 0.000
0.000 0.000 7.023
Cd Tc Ru
1 1 1
direct
0.000 0.000 0.000 Cd
0.333 0.667 0.639 Tc
0.667 0.333 0.355 Ru

***

CdTcRu (PBE, optimized geometry); distance to the lowest polymorph of the same formula = 0.315 eV/atom; raw total energy = -19.32 eV for the cell shown; DFT formation energy = 0.413 eV/atom
1.0
0.000 2.357 7.146
1.455 0.000 7.146
1.455 2.357 0.000
Cd Tc Ru
1 1 1
direct
0.000 0.000 0.000 Cd
0.679 0.679 0.321 Tc
0.325 0.325 0.675 Ru

***

CdTcRu (PBE, optimized geometry); distance to the lowest polymorph of the same formula = 0.188 eV/atom; raw total energy = -19.70 eV for the cell shown; DFT formation energy = 0.286 eV/atom
1.0
-1.431 1.842 4.625
1.431 -1.842 4.625
1.431 1.842 -4.625
Cd Tc Ru
1 1 1
direct
0.000 0.000 0.000 Cd
0.311 0.311 0.000 Tc
0.686 0.686 0.000 Ru

***

Cd2TcRu (PBE, optimized geometry); distance to the lowest polymorph of the same formula = 0.264 eV/atom; raw total energy = -20.01 eV for the cell shown; DFT formation energy = 0.365 eV/atom
1.0
4.561 -1.447 0.000
4.561 1.447 0.000
-0.757 0.000 5.174
Cd Tc Ru
2 1 1
direct
0.000 0.000 0.000 Cd
0.243 0.243 0.761 Cd
0.754 0.754 0.294 Tc
0.492 0.492 0.466 Ru

***

Cd2TcRu (PBE, optimized geometry); distance to the lowest polymorph of the same formula = 0.000 eV/atom; raw total energy = -21.07 eV for the cell shown; DFT formation energy = 0.101 eV/atom
1.0
2.913 0.000 0.000
0.000 2.913 0.000
0.000 0.000 8.250
Cd Tc Ru
2 1 1
direct
0.000 0.000 0.000 Cd
0.500 0.500 0.301 Cd
0.000 0.000 0.560 Tc
0.500 0.500 0.745 Ru